Record 1
YThAu4: relaxed, PBE-GGA.

```
YThAu4
1.0
5.7857 -0.0589 1.0385
0.0178 5.8091 0.9120
1.1658 1.2448 4.4464
Au Th Y
4 1 1
Cartesian
3.3446 1.4267 3.8027 Au
1.3029 3.2670 3.8297 Au
3.7539 5.6480 2.5070 Au
5.5575 3.5767 2.6169 Au
4.0000 4.1757 5.4105 Th
0.6799 6.3383 3.1276 Y
```

* ΔH_f (0 K): -0.725 eV/atom
* E above lowest polymorph: 30 meV/atom
* V: 135.8 Å³/cell

=====

Record 2
YTh2Au6: relaxed, PBE-GGA.

```
YTh2Au6
1.0
-0.5749 2.6002 -2.1741
6.3568 -2.5168 -4.6912
-7.6298 -2.9025 -1.4538
Th Y Au
2 1 6
Cartesian
-2.9676 -2.7739 -2.5329 Th
1.1197 -0.0452 -5.7862 Th
-7.6298 -2.9025 -1.4538 Y
-2.8189 0.3371 -1.5694 Au
-1.1381 -2.3212 -5.1933 Au
-0.7098 -0.4979 -3.1259 Au
1.8216 0.4651 -2.6435 Au
-5.3858 -0.6394 -2.0585 Au
-3.6695 -3.2842 -5.6756 Au
```

* ΔH_f (0 K): -0.719 eV/atom
* V: 204.7 Å³/cell

=====

Record 3
YTh2Au: relaxed, PBE-GGA.

```
YTh2Au
1.0
-3.2023 0.0388 -1.6983
-1.2553 -2.4957 2.3101
-2.8430 6.5301 5.5099
Y Au Th
1 1 2
Cartesian
-3.6503 2.0366 3.0608 Y
-2.2288 -1.2284 0.3059 Au
-0.6125 1.4069 1.1871 Th
-2.2305 5.1232 4.3228 Th
```

* ΔH_f (0 K): -0.224 eV/atom
* E above lowest polymorph: 0 meV/atom
* V: 118.3 Å³/cell

=====

Record 4
YThAu4: relaxed, PBE-GGA.

```
YThAu4
1.0
-2.8979 -1.1713 2.2111
-1.3259 -2.1513 -2.8762
5.1078 -7.0887 2.9439
Y Au Th
1 4 1
Cartesian
0.4420 -5.2057 1.1394 Y
-1.2301 -2.8850 0.1757 Au
-0.8489 -8.0063 1.2800 Au
2.1141 -7.5264 2.1032 Au
1.7330 -2.4051 0.9988 Au
0.0000 0.0000 0.0000 Th
```

* ΔH_f (0 K): -0.754 eV/atom
* E above lowest polymorph: 0 meV/atom
* V: 135.2 Å³/cell